Record 1
A relaxed Ti2InCo crystal. Source: Alexandria, functional PBE.

a b c (Å): 4.4871 4.4871 4.4871
angles (deg): 60.00 60.00 60.00
Fractional coordinates of all 4 atoms:
Ti 0.0000 0.0000 0.0000
Ti 0.2500 0.2500 0.2500
Co 0.5000 0.5000 0.5000
In 0.7500 0.7500 0.7500

Size of the total moment, μB per formula unit: 1.996
Space-group type: No. 216
Calculated volume, Å³/f.u.: 63.88

***

Record 2
A relaxed ScTi2BiAs crystal. Source: Alexandria, functional PBE.

a b c (Å): 5.1253 5.5103 5.1253
angles (deg): 90.00 90.00 90.00
Fractional coordinates of all 5 atoms:
Bi 0.0000 0.0000 0.0000
Ti 0.5000 0.0000 0.0000
Ti 0.0000 0.0000 0.5000
As 0.0000 0.5000 0.0000
Sc 0.5000 0.5000 0.5000

Size of the total moment, μB per formula unit: 0.913
Space-group type: No. 123
Calculated volume, Å³/f.u.: 144.75

***

Record 3
A relaxed CaTb crystal. Source: Alexandria, functional PBE.

a b c (Å): 3.7043 3.7043 10.5691
angles (deg): 90.00 90.00 89.96
Fractional coordinates of all 4 atoms:
Tb 0.0000 0.0000 0.0179
Tb 0.5000 0.5000 0.2321
Ca 0.5000 0.5000 0.7643
Ca 0.0000 0.0000 0.4857

Size of the total moment, μB per formula unit: 0.000
Offset from the most stable computed form, meV/atom: 0.0
Space-group type: No. 129
Calculated volume, Å³/f.u.: 72.51

***

Record 4
A relaxed PrZnGaIr2 crystal. Source: Alexandria, functional PBE.

a b c (Å): 4.5586 7.1289 6.3590
angles (deg): 90.00 90.00 108.65
Fractional coordinates of all 10 atoms:
Zn 0.0000 0.0000 0.0000
Zn 0.0000 0.0000 0.5000
Ir 0.1820 0.3640 0.9639
Ir 0.1820 0.3640 0.5361
Ir 0.8180 0.6360 0.0361
Ir 0.8180 0.6360 0.4639
Pr 0.3889 0.7778 0.7500
Pr 0.6111 0.2222 0.2500
Ga 0.3185 0.6370 0.2500
Ga 0.6815 0.3630 0.7500

Size of the total moment, μB per formula unit: 0.000
Space-group type: No. 63
Calculated volume, Å³/f.u.: 97.90

***

Record 5
A relaxed Ba4NaPd2 crystal. Source: Alexandria, functional PBE.

a b c (Å): 8.8757 8.8767 10.4210
angles (deg): 124.91 110.14 85.63
Fractional coordinates of all 14 atoms:
Na 0.1278 0.1277 0.9998
Na 0.1222 0.6223 0.5002
Ba 0.8169 0.5319 0.1261
Ba 0.8442 0.0592 0.6261
Ba 0.4331 0.2181 0.3739
Ba 0.4011 0.1355 0.7775
Ba 0.4058 0.6908 0.8740
Ba 0.8489 0.6145 0.7225
Ba 0.8920 0.1264 0.2775
Ba 0.3580 0.6236 0.2225
Pd 0.6250 0.3750 0.2500
Pd 0.6250 0.8750 0.2500
Pd 0.6250 0.3750 0.7500
Pd 0.1250 0.3750 0.7499

Size of the total moment, μB per formula unit: 0.000
Offset from the most stable computed form, meV/atom: 51.2
Space-group type: No. 15
Calculated volume, Å³/f.u.: 312.15

***

Energy relative to the elements (computed, eV per atom): -0.06; 1.03; 0.05; -0.38; -0.26